Sc6Co2Tc | PBE | optimized geometry

Properties
Its crystal system is orthorhombic. The volume comes out at 340 Å³/cell. The formation energy comes out at -0.226 eV/atom.

Unit cell a=7.622 b=7.622 c=7.622 alpha=107.47 beta=109.99 gamma=110.98
Fractional coordinates of all 18 atoms:
Sc: 0.808 0.745 0.553
Sc: 0.192 0.745 0.937
Sc: 0.192 0.255 0.447
Sc: 0.916 0.737 0.180
Sc: 0.084 0.263 0.820
Sc: 0.443 0.263 0.180
Sc: 0.301 0.976 0.675
Sc: 0.699 0.024 0.325
Sc: 0.301 0.626 0.325
Sc: 0.557 0.737 0.820
Sc: 0.699 0.374 0.675
Sc: 0.808 0.255 0.063
Tc: 0.000 0.000 0.000
Tc: 0.000 0.500 0.500
Co: 0.353 0.000 0.353
Co: 0.500 0.621 0.121
Co: 0.647 0.000 0.647
Co: 0.500 0.379 0.879